[1]
Density functional theory data (GGA-PBE) for BaNd2Sm3Te6 after structural relaxation.

Cell: 4.5201 9.1648 10.1719 Å, 103.65 102.84 90.00°
Atoms (fractional coordinates):
Sm: 0.8371 0.1802 0.6742
Sm: 0.5000 0.5000 0.0000
Sm: 0.1629 0.8198 0.3258
Te: 0.3253 0.9175 0.6507
Te: 0.6637 0.5840 0.3273
Te: 0.6747 0.0825 0.3493
Te: 0.3363 0.4160 0.6727
Te: 0.9973 0.7318 0.9946
Te: 0.0027 0.2682 0.0054
Ba: 0.5000 0.0000 0.0000
Nd: 0.8283 0.6554 0.6566
Nd: 0.1717 0.3446 0.3434

Properties
Uncorrected formation energy = -1438 meV/atom
E_tot = -5.143 eV per atom

***

[2]
Density functional theory data (GGA-PBE) for Ba3Nd3SmTe8 after structural relaxation.

Cell: 9.1953 9.1900 9.6304 Å, 118.47 90.01 119.99°
Atoms (fractional coordinates):
Te: 0.2594 0.0187 0.2778
Te: 0.2409 0.9813 0.7222
Te: 0.2408 0.4815 0.7221
Te: 0.7406 0.9813 0.7222
Te: 0.7591 0.0187 0.2778
Te: 0.2583 0.5166 0.2749
Te: 0.7417 0.4834 0.7251
Te: 0.7592 0.5185 0.2779
Ba: 0.0000 0.0000 0.0000
Ba: 0.5000 0.5000 0.0000
Ba: 0.0000 0.5000 0.0000
Nd: 0.5000 0.5000 0.5000
Nd: 0.0000 0.5000 0.5000
Nd: 0.5000 0.0000 0.5000
Sm: 0.0000 0.0000 0.5000

Properties
Uncorrected formation energy = -1574 meV/atom
E_tot = -4.902 eV per atom

***

[3]
Density functional theory data (GGA-PBE) for BaNd2SmTl4 after structural relaxation.

Cell: 5.6297 5.6297 9.8346 Å, 73.37 73.37 60.00°
Atoms (fractional coordinates):
Sm: 0.5000 0.5000 0.5000
Nd: 0.2504 0.2504 0.2488
Nd: 0.7496 0.7496 0.7512
Tl: 0.6175 0.6175 0.1476
Tl: 0.8707 0.8707 0.3878
Tl: 0.1293 0.1293 0.6122
Tl: 0.3825 0.3825 0.8524
Ba: 0.0000 0.0000 0.0000

Properties
Energy of formation from the pure elements = -0.32 eV per atom
E_tot = -3.528 eV per atom

***

[4]
Density functional theory data (GGA-PBE) for Ba2NdSn6 after structural relaxation.

Cell: 6.7381 7.3098 7.1096 Å, 120.94 85.77 90.00°
Atoms (fractional coordinates):
Sn: 0.3306 0.3556 0.1725
Sn: 0.6694 0.6444 0.8275
Sn: 0.6694 0.1831 0.8275
Sn: 0.3306 0.8169 0.1725
Sn: 0.6606 0.2064 0.4128
Sn: 0.3394 0.7936 0.5872
Ba: 0.8250 0.6673 0.3347
Ba: 0.1750 0.3327 0.6653
Nd: 0.0000 0.0000 0.0000

Properties
Energy of formation from the pure elements = -0.45 eV per atom
E_tot = -4.073 eV per atom

***

[5]
Density functional theory data (GGA-PBE) for BaNdSn4 after structural relaxation.

Cell: 6.3861 6.3861 6.3861 Å, 60.00 60.00 60.00°
Atoms (fractional coordinates):
Sn: 0.1291 0.6236 0.6236
Sn: 0.6236 0.6236 0.1291
Sn: 0.6236 0.6236 0.6236
Sn: 0.6236 0.1291 0.6236
Nd: 0.2500 0.2500 0.2500
Ba: 0.0000 0.0000 0.0000

Properties
Energy of formation from the pure elements = -0.41 eV per atom
E_tot = -4.189 eV per atom

***

[6]
Density functional theory data (GGA-PBE) for BaNdTlSn after structural relaxation.

Cell: 5.7611 5.7611 5.7611 Å, 60.00 60.00 60.00°
Atoms (fractional coordinates):
Sn: 0.0000 0.0000 0.0000
Tl: 0.5000 0.5000 0.5000
Nd: 0.7500 0.7500 0.7500
Ba: 0.2500 0.2500 0.2500

Properties
Energy of formation from the pure elements = -0.41 eV per atom
E_tot = -3.679 eV per atom

***

[7]
Density functional theory data (GGA-PBE) for Ba2SrNd after structural relaxation.

Cell: 4.6195 6.6374 6.6374 Å, 90.00 90.00 90.00°
Atoms (fractional coordinates):
Nd: 0.5000 0.5000 0.5000
Sr: 0.5000 0.0000 0.0000
Ba: 0.0000 0.0000 0.5000
Ba: 0.0000 0.5000 0.0000

Properties
Energy of formation from the pure elements = 0.17 eV per atom
E_tot = -2.405 eV per atom
Offset from the most stable computed form = 37 meV/atom

***

[8]
Density functional theory data (GGA-PBE) for Ba2SrNd after structural relaxation.

Cell: 4.1591 4.1591 13.7995 Å, 81.33 81.33 60.00°
Atoms (fractional coordinates):
Ba: 0.0894 0.0894 0.7317
Ba: 0.2440 0.2440 0.2680
Sr: 0.6663 0.6663 0.0010
Nd: 0.5002 0.5002 0.4994

Properties
Energy of formation from the pure elements = 0.13 eV per atom
E_tot = -2.443 eV per atom
Offset from the most stable computed form = 0 meV/atom

***

Q: E_tot of number 6 (BaNdTlSn)?
A: -3.679 eV per atom